Entry 1:
First-principles (PBE) data for a geometry-optimized Ca2Tm3Tl4 structure, as listed in the Alexandria database.

Geometry as CIF:
```
data_Ca2Tm3Tl4
_cell_length_a 7.081
_cell_length_b 17.942
_cell_length_c 8.607
_cell_angle_alpha 90.00
_cell_angle_beta 90.00
_cell_angle_gamma 90.00
_symmetry_space_group_name_H-M 'C m c e'
_symmetry_Int_Tables_number 64
_symmetry_space_group_name_Hall '-C 2ac 2'
loop_
_atom_site_label
_atom_site_type_symbol
_atom_site_fract_x
_atom_site_fract_y
_atom_site_fract_z
_atom_site_occupancy
Ca1 Ca 0.000 0.103 0.089 1
Tm1 Tm 0.000 0.000 0.500 1
Tm2 Tm 0.250 0.227 0.750 1
Tl1 Tl 0.000 0.174 0.459 1
Tl2 Tl 0.250 0.058 0.750 1
```

Values from the calculation:
Size of the total moment = 0.00 Bohr magnetons per cell
Raw total energy = -3.19 eV per atom
ΔE_f = -0.208 eV per atom


Entry 2:
First-principles (PBE) data for a geometry-optimized CaTm2Tl structure, as listed in the Alexandria database.

Geometry as CIF:
```
data_CaTm2Tl
_cell_length_a 7.799
_cell_length_b 7.799
_cell_length_c 7.799
_cell_angle_alpha 90.00
_cell_angle_beta 90.00
_cell_angle_gamma 90.00
_symmetry_space_group_name_H-M 'F -4 3 m'
_symmetry_Int_Tables_number 216
_symmetry_space_group_name_Hall 'F -4 2 3'
loop_
_atom_site_label
_atom_site_type_symbol
_atom_site_fract_x
_atom_site_fract_y
_atom_site_fract_z
_atom_site_occupancy
Ca1 Ca 0.000 0.000 0.000 1
Tm1 Tm 0.000 0.000 0.500 1
Tm2 Tm 0.250 0.250 0.250 1
Tl1 Tl 0.250 0.250 0.750 1
```

Values from the calculation:
E above lowest polymorph = 0.500 eV/f.u.
Size of the total moment = 0.00 Bohr magnetons per cell
Raw total energy = -3.32 eV per atom
ΔE_f = 0.011 eV per atom